Record 1
Below is a relaxed structure of TbThMg2, with properties calculated at the PBE level.

Cell: 3.797 3.797 7.718 Å, 90.00 90.00 90.00°
Fractional coordinates of all 4 atoms:
Mg1 0.000 0.000 0.740
Mg2 0.000 0.000 0.260
Th1 0.500 0.500 0.000
Tb1 0.500 0.500 0.500

Computed properties:
As for the space group: No. 123. The distance to the lowest polymorph of the same formula comes out at 0 meV per atom. As for the uncorrected energy: -3.8066 eV per atom. The formation energy from the elements is 0.0 eV per formula unit.

=====

Record 2
Below is a relaxed structure of TbThMgTl, with properties calculated at the PBE level.

Cell: 5.426 5.426 5.426 Å, 60.00 60.00 60.00°
Fractional coordinates of all 4 atoms:
Mg1 0.500 0.500 0.500
Tb1 0.250 0.250 0.250
Tl1 0.000 0.000 0.000
Th1 0.750 0.750 0.750

Computed properties:
As for the space group: No. 216. As for the uncorrected energy: -4.1016 eV per atom. The formation energy from the elements is -0.4 eV per formula unit.

=====

Record 3
Below is a relaxed structure of TbTmThMg, with properties calculated at the PBE level.

Cell: 5.507 5.507 5.507 Å, 60.00 60.00 60.00°
Fractional coordinates of all 4 atoms:
Tb1 0.750 0.750 0.750
Th1 0.250 0.250 0.250
Mg1 0.000 0.000 0.000
Tm1 0.500 0.500 0.500

Computed properties:
As for the space group: No. 216. The distance to the lowest polymorph of the same formula comes out at 130 meV per atom. As for the uncorrected energy: -4.4382 eV per atom. The formation energy from the elements is 0.4 eV per formula unit.

=====

Record 4
Below is a relaxed structure of Tb4Tm2ThMg, with properties calculated at the PBE level.

Cell: 5.819 9.290 5.815 Å, 51.27 90.00 90.00°
Fractional coordinates of all 8 atoms:
Mg1 0.500 0.500 0.000
Tm1 0.000 0.000 0.000
Tb1 0.500 0.745 0.255
Th1 0.000 0.500 0.500
Tb2 0.500 0.255 0.745
Tb3 0.000 0.255 0.244
Tb4 0.000 0.745 0.756
Tm2 0.500 0.000 0.500

Computed properties:
As for the space group: No. 123. As for the uncorrected energy: -4.4521 eV per atom. The formation energy from the elements is 0.9 eV per formula unit.

=====

Record 5
Below is a relaxed structure of TbTmThMg, with properties calculated at the PBE level.

Cell: 3.572 3.572 9.204 Å, 90.00 90.00 90.00°
Fractional coordinates of all 4 atoms:
Tm1 0.000 0.000 0.082
Tb1 0.000 0.000 0.561
Mg1 0.500 0.500 0.317
Th1 0.500 0.500 0.824

Computed properties:
As for the space group: No. 99. The distance to the lowest polymorph of the same formula comes out at 0 meV per atom. As for the uncorrected energy: -4.5685 eV per atom. The formation energy from the elements is -0.2 eV per formula unit.

=====

Record 6
Below is a relaxed structure of TbYThMg, with properties calculated at the PBE level.

Cell: 5.553 5.553 5.553 Å, 60.00 60.00 60.00°
Each line ends with the local moment (μB).
Fractional coordinates of all 4 atoms:
Th1 0.000 0.000 0.000  0.34
Y1 0.750 0.750 0.750  0.15
Tb1 0.250 0.250 0.250  0.19
Mg1 0.500 0.500 0.500  0.00

Computed properties:
As for the space group: No. 216. The distance to the lowest polymorph of the same formula comes out at 214 meV per atom. As for the uncorrected energy: -4.8608 eV per atom. The formation energy from the elements is 0.7 eV per formula unit.

=====

Record 7
Below is a relaxed structure of TbYThMg, with properties calculated at the PBE level.

Cell: 3.601 3.601 9.202 Å, 90.00 90.00 90.00°
Fractional coordinates of all 4 atoms:
Th1 0.500 0.500 0.821
Tb1 0.000 0.000 0.561
Y1 0.000 0.000 0.083
Mg1 0.500 0.500 0.321

Computed properties:
As for the space group: No. 99. The distance to the lowest polymorph of the same formula comes out at 0 meV per atom. As for the uncorrected energy: -5.0753 eV per atom. The formation energy from the elements is -0.2 eV per formula unit.

=====

Record 8
Below is a relaxed structure of TbThMgZn, with properties calculated at the PBE level.

Cell: 5.257 5.257 5.257 Å, 60.00 60.00 60.00°
Fractional coordinates of all 4 atoms:
Th1 0.750 0.750 0.750
Mg1 0.500 0.500 0.500
Tb1 0.250 0.250 0.250
Zn1 0.000 0.000 0.000

Computed properties:
As for the space group: No. 216. As for the uncorrected energy: -3.8133 eV per atom. The formation energy from the elements is -0.3 eV per formula unit.

=====

Record 9
Below is a relaxed structure of TbMg2Ti, with properties calculated at the PBE level.

Cell: 3.538 3.538 7.355 Å, 90.00 90.00 90.00°
Fractional coordinates of all 4 atoms:
Ti1 0.500 0.500 0.000
Mg1 0.000 0.000 0.786
Mg2 0.000 0.000 0.214
Tb1 0.500 0.500 0.500

Computed properties:
As for the space group: No. 123. As for the uncorrected energy: -3.7968 eV per atom. The formation energy from the elements is 0.5 eV per formula unit.

=====

Record 10
Below is a relaxed structure of Tb2MgTi, with properties calculated at the PBE level.

Cell: 3.399 3.399 8.974 Å, 90.00 90.00 90.00°
Fractional coordinates of all 4 atoms:
Tb1 0.000 0.000 0.231
Mg1 0.500 0.500 0.500
Ti1 0.500 0.500 0.000
Tb2 0.000 0.000 0.769

Computed properties:
As for the space group: No. 123. The distance to the lowest polymorph of the same formula comes out at 0 meV per atom. As for the uncorrected energy: -4.6111 eV per atom. The formation energy from the elements is 0.3 eV per formula unit.

=====

Record 11
Below is a relaxed structure of Tb2MgTi, with properties calculated at the PBE level.

Cell: 3.227 3.227 11.885 Å, 82.20 82.20 60.00°
Each line ends with the local moment (μB).
Fractional coordinates of all 4 atoms:
Mg1 0.500 0.500 0.500  0.00
Tb1 0.084 0.084 0.749  0.12
Ti1 0.000 0.000 0.000  1.15
Tb2 0.916 0.916 0.251  0.12

Computed properties:
As for the space group: No. 166. The distance to the lowest polymorph of the same formula comes out at 344 meV per atom. As for the uncorrected energy: -4.2667 eV per atom. The formation energy from the elements is 1.7 eV per formula unit.

=====

Record 12
Below is a relaxed structure of Tb2MgTi, with properties calculated at the PBE level.

Cell: 3.599 5.379 5.379 Å, 90.00 90.00 90.00°
Each line ends with the local moment (μB).
Fractional coordinates of all 4 atoms:
Ti1 0.500 0.000 0.000  1.22
Tb1 0.000 0.500 0.000  0.23
Mg1 0.500 0.500 0.500  0.00
Tb2 0.000 0.000 0.500  0.23

Computed properties:
As for the space group: No. 123. The distance to the lowest polymorph of the same formula comes out at 75 meV per atom. As for the uncorrected energy: -4.5360 eV per atom. The formation energy from the elements is 0.6 eV per formula unit.